Density functional theory data (PBE) for Tc2NiRh6 after structural relaxation.

Unit cell a=6.046 b=6.046 c=8.090 alpha=102.75 beta=102.75 gamma=25.85
Atoms (fractional coordinates):
1 Tc 0.167 0.167 0.220
2 Tc 0.833 0.833 0.780
3 Ni 0.500 0.500 0.000
4 Rh 0.165 0.165 0.896
5 Rh 0.170 0.170 0.557
6 Rh 0.498 0.498 0.672
7 Rh 0.502 0.502 0.328
8 Rh 0.830 0.830 0.443
9 Rh 0.835 0.835 0.104

## Properties
Space-group type: C2/m (12)
Energy above the most stable polymorph in this dataset, eV/atom: 0.0133
E_tot, eV per atom: -7.8889
ΔE_f, meV/atom: -42

---

Density functional theory data (PBE) for TcNiRh4 after structural relaxation.

Unit cell a=2.701 b=3.814 c=8.048 alpha=90.00 beta=90.00 gamma=90.00
Atoms (fractional coordinates):
1 Tc 0.000 0.000 0.000
2 Ni 0.500 0.500 0.500
3 Rh 0.000 0.000 0.337
4 Rh 0.000 0.000 0.663
5 Rh 0.500 0.500 0.166
6 Rh 0.500 0.500 0.834

## Properties
Space-group type: Pmmm (47)
Energy above the most stable polymorph in this dataset, eV/atom: 0.0000
E_tot, eV per atom: -7.5881
ΔE_f, meV/atom: 4

---

Density functional theory data (PBE) for TcNi2Rh after structural relaxation.

Unit cell a=2.592 b=4.324 c=4.653 alpha=90.00 beta=93.87 gamma=90.00
Atoms (fractional coordinates):
1 Tc 0.000 0.000 0.000
2 Ni 0.234 0.500 0.759
3 Ni 0.766 0.500 0.241
4 Rh 0.500 0.000 0.500

## Properties
Space-group type: P2/m (10)
Energy above the most stable polymorph in this dataset, eV/atom: 0.2345
E_tot, eV per atom: -7.1153
ΔE_f, meV/atom: 205

---

Density functional theory data (PBE) for TcNi2Rh after structural relaxation.

Unit cell a=4.522 b=4.522 c=2.624 alpha=90.00 beta=90.00 gamma=109.23
Atoms (fractional coordinates):
1 Tc 0.000 0.000 0.000
2 Ni 0.000 0.500 0.500
3 Ni 0.500 0.000 0.500
4 Rh 0.500 0.500 0.000

## Properties
Space-group type: Cmmm (65)
Energy above the most stable polymorph in this dataset, eV/atom: 0.0923
E_tot, eV per atom: -7.2574
ΔE_f, meV/atom: 63

---

Density functional theory data (PBE) for TcNiRh2 after structural relaxation.

Unit cell a=2.706 b=2.706 c=8.587 alpha=90.00 beta=90.00 gamma=120.00
Atoms (fractional coordinates):
1 Tc 0.000 0.000 0.000
2 Ni 0.000 0.000 0.500
3 Rh 0.333 0.667 0.745
4 Rh 0.667 0.333 0.255

## Properties
Space-group type: P-3m1 (164)
Energy above the most stable polymorph in this dataset, eV/atom: 0.0394
E_tot, eV per atom: -7.7321
ΔE_f, meV/atom: -20

---

Density functional theory data (PBE) for TcNiRh4 after structural relaxation.

Unit cell a=5.019 b=5.019 c=5.019 alpha=60.00 beta=60.00 gamma=60.00
Atoms (fractional coordinates):
1 Tc 0.000 0.000 0.000
2 Ni 0.750 0.750 0.750
3 Rh 0.375 0.375 0.375
4 Rh 0.375 0.375 0.874
5 Rh 0.375 0.874 0.375
6 Rh 0.874 0.375 0.375

## Properties
Space-group type: F-43m (216)
Energy above the most stable polymorph in this dataset, eV/atom: 0.4594
E_tot, eV per atom: -7.1287
ΔE_f, meV/atom: 463

---

Density functional theory data (PBE) for TcNi2Rh after structural relaxation.

Unit cell a=5.364 b=3.655 c=5.816 alpha=90.00 beta=116.72 gamma=90.00
Atoms (fractional coordinates):
1 Tc 0.059 0.250 0.378
2 Tc 0.941 0.750 0.622
3 Ni 0.176 0.750 0.110
4 Ni 0.309 0.250 0.881
5 Ni 0.691 0.750 0.119
6 Ni 0.824 0.250 0.890
7 Rh 0.441 0.750 0.632
8 Rh 0.559 0.250 0.368

## Properties
Space-group type: P2_1/m (11)
Energy above the most stable polymorph in this dataset, eV/atom: 0.0154
E_tot, eV per atom: -7.3343
ΔE_f, meV/atom: -14

---

Density functional theory data (PBE) for TcNi7Rh4 after structural relaxation.

Unit cell a=4.922 b=4.922 c=8.905 alpha=110.32 beta=110.32 gamma=52.67
Atoms (fractional coordinates):
1 Tc 0.000 0.000 0.000
2 Ni 0.130 0.130 0.477
3 Ni 0.283 0.283 0.088
4 Ni 0.354 0.354 0.385
5 Ni 0.500 0.500 0.000
6 Ni 0.646 0.646 0.615
7 Ni 0.717 0.717 0.912
8 Ni 0.870 0.870 0.523
9 Rh 0.124 0.124 0.767
10 Rh 0.404 0.404 0.702
11 Rh 0.596 0.596 0.298
12 Rh 0.876 0.876 0.233

## Properties
Space-group type: C2/m (12)
E_tot, eV per atom: -6.3109
ΔE_f, meV/atom: 376

---

Density functional theory data (PBE) for Tc2Ni3Rh2 after structural relaxation.

Unit cell a=6.277 b=6.277 c=6.436 alpha=118.74 beta=118.74 gamma=24.17
Atoms (fractional coordinates):
1 Tc 0.140 0.140 0.331
2 Tc 0.860 0.860 0.669
3 Ni 0.431 0.431 0.075
4 Ni 0.500 0.500 0.500
5 Ni 0.569 0.569 0.925
6 Rh 0.200 0.200 0.780
7 Rh 0.800 0.800 0.220

## Properties
Space-group type: C2/m (12)
E_tot, eV per atom: -7.5217
ΔE_f, meV/atom: 18

---

Density functional theory data (PBE) for TcNiRh3 after structural relaxation.

Unit cell a=4.628 b=4.628 c=4.628 alpha=90.00 beta=90.00 gamma=90.00
Atoms (fractional coordinates):
1 Tc 0.000 0.000 0.000
2 Ni 0.500 0.500 0.500
3 Rh 0.000 0.000 0.500
4 Rh 0.000 0.500 0.000
5 Rh 0.500 0.000 0.000

## Properties
Space-group type: Pm-3m (221)
Energy above the most stable polymorph in this dataset, eV/atom: 1.4977
E_tot, eV per atom: -6.1627
ΔE_f, meV/atom: 1478

---

Density functional theory data (PBE) for TcNi2Rh after structural relaxation.

Unit cell a=8.531 b=8.531 c=8.531 alpha=17.98 beta=17.98 gamma=17.98
Atoms (fractional coordinates):
1 Tc 0.000 0.000 0.000
2 Ni 0.250 0.250 0.250
3 Ni 0.504 0.504 0.504
4 Rh 0.752 0.752 0.752

## Properties
Space-group type: R3m (160)
Energy above the most stable polymorph in this dataset, eV/atom: 0.0977
E_tot, eV per atom: -7.2520
ΔE_f, meV/atom: 68

---

Density functional theory data (PBE) for TcNi2Rh after structural relaxation.

Unit cell a=3.723 b=3.723 c=3.659 alpha=90.00 beta=90.00 gamma=90.00
Atoms (fractional coordinates):
1 Tc 0.000 0.000 0.000
2 Ni 0.000 0.500 0.500
3 Ni 0.500 0.000 0.500
4 Rh 0.500 0.500 0.000

## Properties
Space-group type: P4/mmm (123)
Energy above the most stable polymorph in this dataset, eV/atom: 0.1111
E_tot, eV per atom: -7.2386
ΔE_f, meV/atom: 81

---

Density functional theory data (PBE) for TcNiRh3 after structural relaxation.

Unit cell a=4.417 b=4.417 c=4.417 alpha=90.00 beta=90.00 gamma=90.00
Atoms (fractional coordinates):
1 Tc 0.000 0.000 0.000
2 Ni 0.500 0.500 0.500
3 Rh 0.000 0.500 0.500
4 Rh 0.500 0.000 0.500
5 Rh 0.500 0.500 0.000

## Properties
Space-group type: Pm-3m (221)
Energy above the most stable polymorph in this dataset, eV/atom: 1.3777
E_tot, eV per atom: -6.2827
ΔE_f, meV/atom: 1358

---

Density functional theory data (PBE) for TcNiRh2 after structural relaxation.

Unit cell a=4.685 b=4.685 c=4.685 alpha=132.96 beta=132.96 gamma=68.71
Atoms (fractional coordinates):
1 Tc 0.000 0.000 0.000
2 Ni 0.250 0.750 0.500
3 Rh 0.500 0.500 0.000
4 Rh 0.750 0.250 0.500

## Properties
Space-group type: I-4m2 (119)
Energy above the most stable polymorph in this dataset, eV/atom: 0.0685
E_tot, eV per atom: -7.7030
ΔE_f, meV/atom: 10

---

Density functional theory data (PBE) for Tc2Ni6Rh after structural relaxation.

Unit cell a=5.835 b=5.835 c=5.648 alpha=107.98 beta=107.98 gamma=36.83
Atoms (fractional coordinates):
1 Tc 0.172 0.172 0.499
2 Tc 0.828 0.828 0.501
3 Ni 0.056 0.056 0.838
4 Ni 0.278 0.278 0.161
5 Ni 0.390 0.390 0.842
6 Ni 0.610 0.610 0.158
7 Ni 0.722 0.722 0.839
8 Ni 0.944 0.944 0.162
9 Rh 0.500 0.500 0.500

## Properties
Space-group type: C2/m (12)
E_tot, eV per atom: -6.9582
ΔE_f, meV/atom: 16

---

Density functional theory data (PBE) for Tc2Ni2Rh7 after structural relaxation.

Unit cell a=4.650 b=5.997 c=6.033 alpha=107.17 beta=97.40 gamma=105.20
Atoms (fractional coordinates):
1 Tc 0.128 0.036 0.219
2 Tc 0.872 0.964 0.781
3 Ni 0.410 0.134 0.678
4 Ni 0.590 0.866 0.322
5 Rh 0.048 0.693 0.410
6 Rh 0.230 0.406 0.039
7 Rh 0.320 0.780 0.856
8 Rh 0.500 0.500 0.500
9 Rh 0.680 0.220 0.144
10 Rh 0.770 0.594 0.961
11 Rh 0.952 0.307 0.590

## Properties
Space-group type: P-1 (2)
E_tot, eV per atom: -7.6451
ΔE_f, meV/atom: -31

---

Density functional theory data (PBE) for TcNi2Rh4 after structural relaxation.

Unit cell a=6.386 b=6.386 c=6.386 alpha=109.43 beta=109.43 gamma=109.55
Atoms (fractional coordinates):
1 Tc 0.000 0.000 0.000
2 Tc 0.750 0.250 0.500
3 Ni 0.251 0.125 0.626
4 Ni 0.375 0.749 0.874
5 Ni 0.499 0.625 0.374
6 Ni 0.875 0.501 0.126
7 Rh 0.120 0.375 0.912
8 Rh 0.125 0.370 0.412
9 Rh 0.287 0.875 0.244
10 Rh 0.463 0.207 0.088
11 Rh 0.625 0.537 0.744
12 Rh 0.630 0.043 0.756
13 Rh 0.793 0.880 0.256
14 Rh 0.957 0.713 0.588

## Properties
Space-group type: I-42d (122)
E_tot, eV per atom: -7.0283
ΔE_f, meV/atom: 305

---

Density functional theory data (PBE) for TcNi2Rh after structural relaxation.

Unit cell a=2.634 b=3.708 c=5.187 alpha=90.00 beta=90.00 gamma=90.00
Atoms (fractional coordinates):
1 Tc 0.000 0.000 0.000
2 Ni 0.500 0.500 0.242
3 Ni 0.500 0.500 0.758
4 Rh 0.000 0.000 0.500

## Properties
Space-group type: Pmmm (47)
Energy above the most stable polymorph in this dataset, eV/atom: 0.0462
E_tot, eV per atom: -7.3035
ΔE_f, meV/atom: 17

---

Density functional theory data (PBE) for TcNiRh2 after structural relaxation.

Unit cell a=5.437 b=5.437 c=5.437 alpha=104.23 beta=104.23 gamma=120.56
Atoms (fractional coordinates):
1 Tc 0.000 0.000 0.000
2 Tc 0.750 0.250 0.500
3 Ni 0.250 0.750 0.500
4 Ni 0.500 0.500 0.000
5 Rh 0.117 0.125 0.492
6 Rh 0.375 0.883 0.008
7 Rh 0.633 0.625 0.508
8 Rh 0.875 0.367 0.992

## Properties
Space-group type: I-42d (122)
Energy above the most stable polymorph in this dataset, eV/atom: 0.5788
E_tot, eV per atom: -7.1927
ΔE_f, meV/atom: 520

---

Density functional theory data (PBE) for TcNi3Rh4 after structural relaxation.

Unit cell a=8.826 b=8.826 c=4.927 alpha=105.87 beta=105.87 gamma=17.05
Atoms (fractional coordinates):
1 Tc 0.000 0.000 0.000
2 Ni 0.379 0.379 0.625
3 Ni 0.500 0.500 0.500
4 Ni 0.621 0.621 0.375
5 Rh 0.238 0.238 0.245
6 Rh 0.377 0.377 0.123
7 Rh 0.623 0.623 0.877
8 Rh 0.762 0.762 0.755

## Properties
Space-group type: C2/m (12)
Energy above the most stable polymorph in this dataset, eV/atom: 0.1865
E_tot, eV per atom: -6.9439
ΔE_f, meV/atom: 196

---

Density functional theory data (PBE) for TcNiRh2 after structural relaxation.

Unit cell a=3.815 b=3.815 c=3.728 alpha=90.00 beta=90.00 gamma=90.00
Atoms (fractional coordinates):
1 Tc 0.000 0.000 0.000
2 Ni 0.500 0.500 0.000
3 Rh 0.000 0.500 0.500
4 Rh 0.500 0.000 0.500

## Properties
Space-group type: P4/mmm (123)
Energy above the most stable polymorph in this dataset, eV/atom: 0.1097
E_tot, eV per atom: -7.6618
ΔE_f, meV/atom: 51

---

Density functional theory data (PBE) for TcNi3Rh4 after structural relaxation.

Unit cell a=8.581 b=5.374 c=4.547 alpha=90.00 beta=90.00 gamma=90.00
Atoms (fractional coordinates):
1 Tc 0.000 0.000 0.000
2 Tc 0.500 0.000 0.000
3 Ni 0.000 0.500 0.000
4 Ni 0.250 0.000 0.341
5 Ni 0.250 0.500 0.342
6 Ni 0.500 0.500 0.000
7 Ni 0.750 0.000 0.659
8 Ni 0.750 0.500 0.658
9 Rh 0.000 0.250 0.500
10 Rh 0.000 0.750 0.500
11 Rh 0.250 0.257 0.850
12 Rh 0.250 0.743 0.850
13 Rh 0.500 0.250 0.500
14 Rh 0.500 0.750 0.500
15 Rh 0.750 0.257 0.150
16 Rh 0.750 0.743 0.150

## Properties
Space-group type: Pmma (51)
Energy above the most stable polymorph in this dataset, eV/atom: 0.0000
E_tot, eV per atom: -7.1304
ΔE_f, meV/atom: 9

---

Density functional theory data (PBE) for TcNiRh2 after structural relaxation.

Unit cell a=2.693 b=2.693 c=7.468 alpha=90.00 beta=90.00 gamma=90.00
Atoms (fractional coordinates):
1 Tc 0.000 0.000 0.000
2 Ni 0.000 0.000 0.500
3 Rh 0.500 0.500 0.255
4 Rh 0.500 0.500 0.745

## Properties
Space-group type: P4/mmm (123)
Energy above the most stable polymorph in this dataset, eV/atom: 0.0090
E_tot, eV per atom: -7.7625
ΔE_f, meV/atom: -50

---

Density functional theory data (PBE) for TcNiRh2 after structural relaxation.

Unit cell a=2.685 b=3.799 c=5.305 alpha=90.00 beta=90.00 gamma=90.00
Atoms (fractional coordinates):
1 Tc 0.000 0.000 0.000
2 Ni 0.500 0.500 0.237
3 Rh 0.000 0.000 0.475
4 Rh 0.500 0.500 0.751

## Properties
Space-group type: Pmm2 (25)
Energy above the most stable polymorph in this dataset, eV/atom: 0.0329
E_tot, eV per atom: -7.7386
ΔE_f, meV/atom: -26

---

Density functional theory data (PBE) for TcNiRh3 after structural relaxation.

Unit cell a=7.117 b=7.117 c=4.618 alpha=96.17 beta=96.17 gamma=141.79
Atoms (fractional coordinates):
1 Tc 0.150 0.850 0.750
2 Tc 0.850 0.150 0.250
3 Ni 0.350 0.650 0.750
4 Ni 0.650 0.350 0.250
5 Rh 0.054 0.946 0.250
6 Rh 0.253 0.747 0.250
7 Rh 0.449 0.551 0.250
8 Rh 0.551 0.449 0.750
9 Rh 0.747 0.253 0.750
10 Rh 0.946 0.054 0.750

## Properties
Space-group type: C2/c (15)
Energy above the most stable polymorph in this dataset, eV/atom: 0.0000
E_tot, eV per atom: -7.6604
ΔE_f, meV/atom: -20